This record from Alexandria via LeMat-Bulk describes an optimized crystal structure of SiBAu. The functional is PBE-GGA.

Summary:
Space-group type: Pnma, No. 62
Formation energy (no corrections) (meV per atom): 429

Cell and atoms, written as POSCAR:
```
SiBAu
1.0
7.439 0.000 0.000
0.000 3.619 0.000
0.000 0.000 6.331
Si B Au
4 4 4
direct
0.133 0.250 0.010 Si
0.367 0.750 0.510 Si
0.633 0.250 0.490 Si
0.867 0.750 0.990 Si
0.098 0.750 0.172 B
0.402 0.250 0.672 B
0.598 0.750 0.328 B
0.902 0.250 0.828 B
0.140 0.250 0.419 Au
0.360 0.750 0.919 Au
0.640 0.250 0.081 Au
0.860 0.750 0.581 Au
```


This record from Alexandria via LeMat-Bulk describes an optimized crystal structure of ZrBe3Rh4. The functional is PBE-GGA.

Summary:
Space-group type: R-3m, No. 166
E_form (meV/atom): -614

Cell and atoms, written as POSCAR:
```
ZrBe3Rh4
1.0
2.083 1.202 6.823
-2.083 1.202 6.823
0.000 -2.405 6.823
Zr Be Rh
1 3 4
direct
0.000 0.000 0.000 Zr
0.246 0.246 0.246 Be
0.500 0.500 0.500 Be
0.754 0.754 0.754 Be
0.131 0.131 0.131 Rh
0.385 0.385 0.385 Rh
0.615 0.615 0.615 Rh
0.869 0.869 0.869 Rh
```


This record from Alexandria via LeMat-Bulk describes an optimized crystal structure of SrMg2NbGa. The functional is PBE-GGA.

Summary:
Space-group type: P4/mmm, No. 123
E_form (meV/atom): 394

Cell and atoms, written as POSCAR:
```
SrMg2NbGa
1.0
5.088 0.000 0.000
0.000 5.088 0.000
0.000 0.000 5.194
Sr Mg Nb Ga
1 2 1 1
direct
0.000 0.000 0.000 Sr
0.000 0.500 0.500 Mg
0.500 0.000 0.500 Mg
0.500 0.500 0.000 Nb
0.500 0.500 0.500 Ga
```